This record from the Alexandria database describes a relaxed structure of PrHo2Os. The functional is PBE.

Output
- Magnetization: 0.00 Bohr magnetons per cell
- Raw total energy: -103.86 eV for the cell shown
- E above lowest polymorph: 0 meV per atom
- Formation enthalpy at 0 K: -77 kJ/mol of formula units
- Fermi-level density of states: 0.896 states/eV per atom

Unit cell a=6.437 b=7.482 c=9.110 alpha=90.00 beta=90.00 gamma=90.00
Positions (direct):
Ho 0.163 0.674 0.435
Ho 0.163 0.674 0.065
Ho 0.663 0.826 0.935
Ho 0.837 0.326 0.935
Ho 0.337 0.174 0.065
Ho 0.837 0.326 0.565
Ho 0.337 0.174 0.435
Ho 0.663 0.826 0.565
Os 0.055 0.384 0.250
Os 0.555 0.116 0.750
Os 0.945 0.616 0.750
Os 0.445 0.884 0.250
Pr 0.129 0.960 0.750
Pr 0.871 0.040 0.250
Pr 0.629 0.540 0.250
Pr 0.371 0.460 0.750